[1]
Sb2AsPt PBE-GGA relaxed; formation energy without anion corrections = 0.264 eV per atom
1.0
3.4212 0.0000 0.0000
0.0000 4.8272 0.0000
0.0000 0.0000 5.2235
Sb As Pt
2 1 1
direct
0.0000 0.0000 0.0000
0.5000 0.0000 0.5000
0.0000 0.5000 0.5000
0.5000 0.5000 0.0000

---

[2]
Nd2ThTc PBE-GGA relaxed; energy of formation from the pure elements = 437 meV per atom; E above lowest polymorph = 0.515 eV/atom
1.0
2.7716 1.6002 4.0002
-2.7716 1.6002 4.0002
0.0000 -3.2004 4.0002
Nd Th Tc
2 1 1
direct
0.2353 0.2353 0.2353
0.7647 0.7647 0.7647
0.5000 0.5000 0.5000
0.0000 0.0000 0.0000

---

[3]
BAsP2S PBE-GGA relaxed; formation energy without anion corrections = 0.817 eV per atom; E above lowest polymorph = 0.000 eV/atom
1.0
4.2116 0.0000 0.0000
0.0000 4.2116 0.0000
0.0000 0.0000 4.0846
B As P S
1 1 2 1
direct
0.0000 0.0000 0.0000
0.5000 0.5000 0.5000
0.0000 0.5000 0.0000
0.5000 0.0000 0.0000
0.0000 0.0000 0.5000

---

[4]
MgIrW2 PBE-GGA relaxed; energy of formation from the pure elements = 227 meV per atom
1.0
-1.5274 2.3503 4.4983
1.5274 -2.3503 4.4983
1.5274 2.3503 -4.4983
Mg Ir W
1 1 2
direct
0.0000 0.0000 0.0000
0.7467 0.2467 0.5000
0.2736 0.7736 0.5000
0.5016 0.5016 0.0000

---

[5]
NaSc3B PBE-GGA relaxed; energy of formation from the pure elements = 105 meV per atom; E above lowest polymorph = 0.000 eV/atom
1.0
4.8264 0.0000 0.0000
0.0000 4.8264 0.0000
0.0000 0.0000 4.8264
Na Sc B
1 3 1
direct
0.0000 0.0000 0.0000
0.0000 0.5000 0.5000
0.5000 0.0000 0.5000
0.5000 0.5000 0.0000
0.5000 0.5000 0.5000

---

[6]
DyY2Ir3 PBE-GGA relaxed; energy of formation from the pure elements = -794 meV per atom
1.0
4.8568 0.0000 0.0000
-2.4284 4.2061 0.0000
0.0000 0.0000 5.9444
Dy Y Ir
1 2 3
direct
0.0000 0.0000 0.0000
0.3333 0.6667 0.6666
0.6667 0.3333 0.3334
0.0000 0.0000 0.5000
0.3333 0.6667 0.1656
0.6667 0.3333 0.8344